Record 1
Computed, not measured: ZrBeP after structural relaxation at the PBE-GGA level of DFT.

Structure (extended XYZ):
```
3
Lattice="0.000 3.005 3.005 3.005 0.000 3.005 3.005 3.005 0.000" Properties=species:S:1:pos:R:3 pbc="T T T"
Zr 0.000 0.000 0.000
Be 1.502 1.502 1.502
P 4.507 4.507 4.507
```

Calculated values
Distance to the lowest polymorph of the same formula (meV per atom): 955.3
DFT formation energy (eV/atom): 0.142
Symmetry: F-43m, No. 216
M_tot (μB per formula unit): 0.00
Energy (eV/atom): -5.75

=====

Record 2
Computed, not measured: ZrBeP2 after structural relaxation at the PBE-GGA level of DFT.

Structure (extended XYZ):
```
4
Lattice="5.082 -1.737 0.000 5.082 1.737 0.000 -0.258 0.000 3.590" Properties=species:S:1:pos:R:3 pbc="T T T"
Zr 0.000 0.000 0.000
Be 2.096 0.000 2.097
P 4.162 0.000 1.735
P 7.135 0.000 0.066
```

Calculated values
DFT formation energy (eV/atom): -0.576
Symmetry: Cm, No. 8
M_tot (μB per formula unit): 0.00
Energy (eV/atom): -6.35

=====

Record 3
Computed, not measured: ZrBe3P after structural relaxation at the PBE-GGA level of DFT.

Structure (extended XYZ):
```
5
Lattice="4.637 0.000 0.000 0.000 4.637 0.000 0.000 0.000 4.637" Properties=species:S:1:pos:R:3 pbc="T T T"
Zr 0.000 0.000 0.000
Be 0.000 0.000 2.318
Be 0.000 2.318 0.000
Be 2.318 0.000 0.000
P 2.318 2.318 2.318
```

Calculated values
Distance to the lowest polymorph of the same formula (meV per atom): 1482.9
DFT formation energy (eV/atom): 1.939
Symmetry: Pm-3m, No. 221
M_tot (μB per formula unit): 0.00
Energy (eV/atom): -3.09

=====

Record 4
Computed, not measured: Zr2BeP after structural relaxation at the PBE-GGA level of DFT.

Structure (extended XYZ):
```
4
Lattice="1.912 -2.537 0.000 1.912 2.537 0.000 0.000 0.000 7.100" Properties=species:S:1:pos:R:3 pbc="T T T"
Zr 0.000 0.000 0.000
Zr 1.912 0.000 2.509
Be 1.912 0.000 5.296
P 0.000 0.000 4.286
```

Calculated values
Distance to the lowest polymorph of the same formula (meV per atom): 653.4
DFT formation energy (eV/atom): -0.298
Symmetry: Cmm2, No. 35
M_tot (μB per formula unit): 0.00
Energy (eV/atom): -6.86

=====

Record 5
Computed, not measured: Zr2BeP after structural relaxation at the PBE-GGA level of DFT.

Structure (extended XYZ):
```
8
Lattice="5.196 0.000 0.000 0.000 3.570 0.000 -2.556 0.000 6.955" Properties=species:S:1:pos:R:3 pbc="T T T"
Zr 0.041 0.892 2.970
Zr 1.269 2.677 0.509
Zr 1.371 0.892 6.447
Zr 2.598 2.677 3.985
Be 0.027 2.677 4.983
Be 2.613 0.892 1.972
P -1.207 0.892 5.450
P 3.846 2.677 1.505
```

Calculated values
Distance to the lowest polymorph of the same formula (meV per atom): 0.0
DFT formation energy (eV/atom): -0.951
Symmetry: P2_1/m, No. 11
M_tot (μB per formula unit): 0.00
Energy (eV/atom): -7.51

=====

Record 6
Computed, not measured: ZrBeP3 after structural relaxation at the PBE-GGA level of DFT.

Structure (extended XYZ):
```
5
Lattice="4.295 0.000 0.000 0.000 4.295 0.000 0.000 0.000 4.295" Properties=species:S:1:pos:R:3 pbc="T T T"
Zr 0.000 0.000 0.000
Be 2.147 2.147 2.147
P 0.000 2.147 2.147
P 2.147 0.000 2.147
P 2.147 2.147 0.000
```

Calculated values
Distance to the lowest polymorph of the same formula (meV per atom): 0.0
DFT formation energy (eV/atom): 0.222
Symmetry: Pm-3m, No. 221
M_tot (μB per formula unit): 0.00
Energy (eV/atom): -5.48

=====

Record 7
Computed, not measured: Zr2BeP after structural relaxation at the PBE-GGA level of DFT.

Structure (extended XYZ):
```
4
Lattice="-1.951 2.317 3.688 1.951 -2.317 3.688 1.951 2.317 -3.688" Properties=species:S:1:pos:R:3 pbc="T T T"
Zr 0.000 0.000 1.819
Zr 0.000 0.000 5.557
Be 0.000 2.317 0.000
P 1.951 0.000 0.000
```

Calculated values
Distance to the lowest polymorph of the same formula (meV per atom): 516.8
DFT formation energy (eV/atom): -0.435
Symmetry: Immm, No. 71
M_tot (μB per formula unit): 0.00
Energy (eV/atom): -6.99

=====

Record 8
Computed, not measured: Zr2BeP after structural relaxation at the PBE-GGA level of DFT.

Structure (extended XYZ):
```
4
Lattice="3.253 0.000 0.000 0.000 3.460 0.000 -0.992 0.000 6.031" Properties=species:S:1:pos:R:3 pbc="T T T"
Zr -0.151 0.000 1.519
Zr 2.412 0.000 4.512
Be 1.626 1.730 0.000
P 1.130 1.730 3.016
```

Calculated values
Distance to the lowest polymorph of the same formula (meV per atom): 482.1
DFT formation energy (eV/atom): -0.469
Symmetry: P2/m, No. 10
M_tot (μB per formula unit): 0.00
Energy (eV/atom): -7.03

=====

Record 9
Computed, not measured: ZrBeP2 after structural relaxation at the PBE-GGA level of DFT.

Structure (extended XYZ):
```
4
Lattice="0.000 3.118 3.118 3.118 0.000 3.118 3.118 3.118 0.000" Properties=species:S:1:pos:R:3 pbc="T T T"
Zr 0.000 0.000 0.000
Be 4.677 4.677 4.677
P 1.559 1.559 1.559
P 3.118 3.118 3.118
```

Calculated values
DFT formation energy (eV/atom): 0.244
Symmetry: F-43m, No. 216
M_tot (μB per formula unit): 0.00
Energy (eV/atom): -5.53

=====

Record 10
Computed, not measured: ZrBeP2 after structural relaxation at the PBE-GGA level of DFT.

Structure (extended XYZ):
```
4
Lattice="-1.920 1.920 3.940 1.920 -1.920 3.940 1.920 1.920 -3.940" Properties=species:S:1:pos:R:3 pbc="T T T"
Zr 0.000 0.000 0.000
Be 0.000 0.000 3.940
P 1.920 0.000 1.970
P 0.000 1.920 1.970
```

Calculated values
DFT formation energy (eV/atom): -0.184
Symmetry: I4/mmm, No. 139
M_tot (μB per formula unit): 0.00
Energy (eV/atom): -5.96

=====

Record 11
Computed, not measured: Zr2BeP after structural relaxation at the PBE-GGA level of DFT.

Structure (extended XYZ):
```
4
Lattice="0.000 3.213 3.213 3.213 0.000 3.213 3.213 3.213 0.000" Properties=species:S:1:pos:R:3 pbc="T T T"
Zr 0.000 0.000 0.000
Zr 1.606 1.606 1.606
Be 3.213 3.213 3.213
P 4.819 4.819 4.819
```

Calculated values
Distance to the lowest polymorph of the same formula (meV per atom): 1247.6
DFT formation energy (eV/atom): 0.296
Symmetry: F-43m, No. 216
M_tot (μB per formula unit): 0.00
Energy (eV/atom): -6.26

=====

Record 12
Computed, not measured: Zr4BeP2 after structural relaxation at the PBE-GGA level of DFT.

Structure (extended XYZ):
```
14
Lattice="6.113 0.000 0.000 0.000 5.423 0.000 -2.062 0.000 7.460" Properties=species:S:1:pos:R:3 pbc="T T T"
Zr 0.735 1.356 0.665
Zr 0.405 4.067 2.591
Zr 0.433 0.003 5.618
Zr 0.433 2.708 5.618
Zr 3.619 2.715 1.842
Zr 3.619 5.420 1.842
Zr 3.647 1.356 4.869
Zr 3.317 4.067 6.795
Be 1.675 1.356 3.260
Be 2.377 4.067 4.201
P -0.409 1.356 3.084
P 1.692 4.067 0.365
P 2.359 1.356 7.095
P 4.460 4.067 4.376
```

Calculated values
DFT formation energy (eV/atom): -0.799
Symmetry: P2_1/m, No. 11
M_tot (μB per formula unit): 0.00
Energy (eV/atom): -7.76

=====

Number 1: calculated density 4.02 g/cm3. Number 2: calculated density 4.25 g/cm3. Number 3: calculated density 2.49 g/cm3. Number 4: calculated density 5.36 g/cm3. Number 5: calculated density 5.73 g/cm3. Number 6: calculated density 4.05 g/cm3. Number 7: calculated density 5.54 g/cm3. Number 8: calculated density 5.44 g/cm3. Number 9: calculated density 4.44 g/cm3. Number 10: calculated density 4.64 g/cm3. Number 11: calculated density 5.57 g/cm3. Number 12: calculated density 5.85 g/cm3.